A relaxed structure of RbBa2GaRe, computed with GGA-PBE.

Values from the calculation:
Energy of formation   1.70 eV/atom
Crystal system   tetragonal
Total moment   1.161 μB/f.u.

a = 6.3090 Å, b = 5.0183 Å, c = 6.3090 Å
α = 90.00°, β = 90.00°, γ = 90.00°
Fractional coordinates of all 5 atoms:
Rb: 0.0000 0.0000 0.0000
Ga: 0.5000 0.5000 0.5000
Re: 0.0000 0.5000 0.0000
Ba: 0.0000 0.0000 0.5000
Ba: 0.5000 0.0000 0.0000

=====

A relaxed structure of KTi2Mn2, computed with GGA-PBE.

Values from the calculation:
Energy of formation   0.53 eV/atom
Crystal system   tetragonal
Total moment   3.213 μB/f.u.

a = 8.1856 Å, b = 8.1856 Å, c = 2.8908 Å
α = 90.00°, β = 90.00°, γ = 90.00°
Fractional coordinates of all 10 atoms:
Ti: 0.8677 0.3677 0.5000
Ti: 0.6323 0.8677 0.5000
Ti: 0.1323 0.6323 0.5000
Ti: 0.3677 0.1323 0.5000
Mn: 0.6286 0.1286 0.0000
Mn: 0.3714 0.8714 0.0000
Mn: 0.1286 0.3714 0.0000
Mn: 0.8714 0.6286 0.0000
K: 0.5000 0.5000 0.0000
K: 0.0000 0.0000 0.0000